Record 1
Material: Tb3NdCo2
Method: DFT, PBE
State: relaxed

Structure (extended XYZ):
```
12
Lattice="7.6408 -2.5001 0.0000 7.6408 2.5001 0.0000 -3.2038 0.0000 7.5014" Properties=species:S:1:pos:R:3 pbc="T T T"
Tb 0.3089 0.0000 1.7079
Tb 3.2665 0.0000 3.7795
Tb 2.4067 0.0000 7.4472
Tb 9.6711 0.0000 0.0542
Tb 8.8114 0.0000 3.7220
Tb 11.7690 0.0000 5.7935
Nd -0.3281 0.0000 5.3583
Nd 12.4060 0.0000 2.1431
Co 2.9833 0.0000 0.9828
Co 6.4317 0.0000 2.6500
Co 5.6462 0.0000 4.8514
Co 9.0945 0.0000 6.5187
```

density of states at the Fermi level: 11.41 states/eV per cell
DFT formation energy: 0.00 eV/atom
V: 287 Å³ per cell
spin magnetization: 0.00 μB per formula unit
excess energy over the best structure of this formula in the dataset: 111 meV per atom



Record 2
Material: TbNd2Co
Method: DFT, PBE
State: relaxed

Structure (extended XYZ):
```
4
Lattice="3.5286 0.0000 0.0000 0.0000 3.5286 0.0000 0.0000 0.0000 8.9236" Properties=species:S:1:pos:R:3 pbc="T T T"
Tb 0.0000 0.0000 0.0000
Nd 1.7643 1.7643 2.7692
Nd 1.7643 1.7643 6.1543
Co 0.0000 0.0000 4.4618
```

density of states at the Fermi level: 5.58 states/eV per cell
DFT formation energy: 0.08 eV/atom
V: 111 Å³ per cell
spin magnetization: 1.56 μB per formula unit
excess energy over the best structure of this formula in the dataset: 160 meV per atom



Record 3
Material: TbNdCo2
Method: DFT, PBE
State: relaxed

Structure (extended XYZ):
```
4
Lattice="4.8227 0.0000 0.0000 0.0000 4.8227 0.0000 0.0000 0.0000 3.4203" Properties=species:S:1:pos:R:3 pbc="T T T"
Tb 0.0000 0.0000 0.0000
Nd 2.4114 2.4114 0.0000
Co 0.0000 2.4114 1.7101
Co 2.4114 0.0000 1.7101
```

density of states at the Fermi level: 1.60 states/eV per cell
DFT formation energy: -0.02 eV/atom
V: 80 Å³ per cell
spin magnetization: 0.82 μB per formula unit
excess energy over the best structure of this formula in the dataset: 94 meV per atom



Record 4
Material: TbNd2Co
Method: DFT, PBE
State: relaxed

Structure (extended XYZ):
```
16
Lattice="7.0775 0.0000 0.0000 0.0000 9.8951 0.0000 0.0000 0.0000 6.3022" Properties=species:S:1:pos:R:3 pbc="T T T"
Tb 0.3093 2.4738 0.9745
Tb 3.2294 7.4213 4.1256
Tb 3.8480 2.4738 2.1766
Tb 6.7682 7.4213 5.3277
Nd 1.2336 0.6961 4.2585
Nd 1.2336 4.2514 4.2585
Nd 2.3052 5.6437 1.1074
Nd 2.3052 9.1990 1.1074
Nd 4.7723 0.6961 5.1949
Nd 4.7723 4.2514 5.1949
Nd 5.8439 5.6437 2.0438
Nd 5.8439 9.1990 2.0438
Co 0.8300 7.4213 2.8327
Co 2.7087 2.4738 5.9838
Co 4.3688 7.4213 0.3184
Co 6.2475 2.4738 3.4696
```

density of states at the Fermi level: 20.30 states/eV per cell
DFT formation energy: -0.09 eV/atom
V: 441 Å³ per cell
spin magnetization: 0.00 μB per formula unit
excess energy over the best structure of this formula in the dataset: 0 meV per atom



Record 5
Material: Tb4Nd2Co
Method: DFT, PBE
State: relaxed

Structure (extended XYZ):
```
7
Lattice="-2.5986 2.5986 8.5542 2.5986 -2.5986 8.5542 2.5986 2.5986 -8.5542" Properties=species:S:1:pos:R:3 pbc="T T T"
Tb 2.5986 0.0000 0.0000
Tb 0.0000 0.0000 2.6811
Tb 0.0000 2.5986 0.0000
Tb 0.0000 0.0000 14.4274
Nd 0.0000 0.0000 6.1340
Nd 0.0000 0.0000 10.9744
Co 0.0000 0.0000 0.0000
```

density of states at the Fermi level: 11.32 states/eV per cell
DFT formation energy: 0.19 eV/atom
V: 231 Å³ per cell
spin magnetization: 0.00 μB per formula unit



Record 6
Material: Tb2NdCo
Method: DFT, PBE
State: relaxed

Structure (extended XYZ):
```
4
Lattice="3.4288 0.0000 0.0000 0.0000 3.4288 0.0000 0.0000 0.0000 9.0102" Properties=species:S:1:pos:R:3 pbc="T T T"
Tb 0.0000 0.0000 1.6140
Tb 0.0000 0.0000 7.3962
Nd 1.7144 1.7144 4.5051
Co 1.7144 1.7144 0.0000
```

density of states at the Fermi level: 3.60 states/eV per cell
DFT formation energy: -0.05 eV/atom
V: 106 Å³ per cell
spin magnetization: 0.72 μB per formula unit
excess energy over the best structure of this formula in the dataset: 71 meV per atom



Record 7
Material: TbNdCo10
Method: DFT, PBE
State: relaxed

Structure (extended XYZ):
```
12
Lattice="3.9446 0.0000 0.0000 0.0000 4.9639 0.0000 0.0000 0.0000 8.6251" Properties=species:S:1:pos:R:3 pbc="T T T"
Tb 0.0000 0.0000 0.0000
Nd 0.0000 2.4820 4.3126
Co 0.0000 0.0000 2.8200
Co 0.0000 0.0000 5.8051
Co 0.0000 2.4820 1.4032
Co 0.0000 2.4820 7.2219
Co 1.9723 0.0000 4.3126
Co 1.9723 1.2285 2.1240
Co 1.9723 1.2285 6.5011
Co 1.9723 2.4820 0.0000
Co 1.9723 3.7354 2.1240
Co 1.9723 3.7354 6.5011
```

density of states at the Fermi level: 19.33 states/eV per cell
DFT formation energy: -0.07 eV/atom
V: 169 Å³ per cell
spin magnetization: 14.18 μB per formula unit



Record 8
Material: Tb4NdCo
Method: DFT, PBE
State: relaxed

Structure (extended XYZ):
```
6
Lattice="3.5877 0.0000 0.0000 1.7857 5.9846 0.0000 0.0041 2.9311 7.8964" Properties=species:S:1:pos:R:3 pbc="T T T"
Tb 0.8954 2.6237 3.0148
Tb 0.9057 3.2606 6.2777
Tb 4.4718 5.6551 1.6187
Tb 4.4820 6.2920 4.8816
Nd 2.6867 2.9923 0.0000
Co 2.6887 4.4578 3.9482
```

density of states at the Fermi level: 7.71 states/eV per cell
DFT formation energy: -0.02 eV/atom
V: 170 Å³ per cell
spin magnetization: 0.00 μB per formula unit



Record 9
Material: Tb2NdCo6
Method: DFT, PBE
State: relaxed

Structure (extended XYZ):
```
9
Lattice="6.6985 0.0000 0.0000 -3.3493 5.8011 0.0000 0.0000 0.0000 4.1160" Properties=species:S:1:pos:R:3 pbc="T T T"
Tb 0.0000 3.8674 0.0000
Tb 3.3493 1.9337 0.0000
Nd 0.0000 0.0000 0.0000
Co -1.1220 1.9433 2.0580
Co -2.2273 3.8578 2.0580
Co 2.2440 0.0000 2.0580
Co 1.1220 1.9433 2.0580
Co 4.4546 0.0000 2.0580
Co 2.2273 3.8578 2.0580
```

density of states at the Fermi level: 7.00 states/eV per cell
DFT formation energy: -0.14 eV/atom
V: 160 Å³ per cell
spin magnetization: 4.45 μB per formula unit



Record 10
Material: Tb2NdCo2
Method: DFT, PBE
State: relaxed

Structure (extended XYZ):
```
5
Lattice="1.9690 -7.3701 0.0000 1.9690 7.3701 0.0000 0.0000 0.0000 4.0370" Properties=species:S:1:pos:R:3 pbc="T T T"
Tb 1.9690 5.1445 0.0000
Tb 1.9690 -5.1445 0.0000
Nd 1.9690 0.0000 2.0185
Co 1.9690 3.1005 2.0185
Co 1.9690 -3.1005 2.0185
```

density of states at the Fermi level: 6.73 states/eV per cell
DFT formation energy: -0.11 eV/atom
V: 117 Å³ per cell
spin magnetization: 0.82 μB per formula unit
excess energy over the best structure of this formula in the dataset: 0 meV per atom



Record 11
Material: TbNd4Co2
Method: DFT, PBE
State: relaxed

Structure (extended XYZ):
```
14
Lattice="7.8278 0.0000 0.0000 0.0000 6.6140 0.0000 -3.1038 0.0000 7.2236" Properties=species:S:1:pos:R:3 pbc="T T T"
Tb 1.1417 1.6535 0.2199
Tb 3.5823 4.9605 7.0038
Nd -1.0108 1.6535 2.6963
Nd 0.9159 4.9605 2.3651
Nd 0.8688 0.0241 5.4989
Nd 0.8688 3.2829 5.4989
Nd 3.8551 3.3311 1.7247
Nd 3.8551 6.5899 1.7247
Nd 3.8081 1.6535 4.8585
Nd 5.7348 4.9605 4.5274
Co -1.1406 4.9605 7.1601
Co 1.6333 1.6535 2.8812
Co 3.0907 4.9605 4.3424
Co 5.8646 1.6535 0.0635
```

density of states at the Fermi level: 18.64 states/eV per cell
DFT formation energy: 0.05 eV/atom
V: 374 Å³ per cell
spin magnetization: 0.00 μB per formula unit



Record 12
Material: Tb2NdCo
Method: DFT, PBE
State: relaxed

Structure (extended XYZ):
```
8
Lattice="1.8405 -6.0869 0.0000 1.8405 6.0869 0.0000 0.0000 0.0000 9.5762" Properties=species:S:1:pos:R:3 pbc="T T T"
Tb 1.8405 4.3610 5.4902
Tb 1.8405 4.3610 8.8741
Tb 1.8405 -4.3610 0.7021
Tb 1.8405 -4.3610 4.0860
Nd 1.8405 1.0276 7.1822
Nd 1.8405 -1.0276 2.3941
Co 1.8405 2.9523 2.3941
Co 1.8405 -2.9523 7.1822
```

density of states at the Fermi level: 10.45 states/eV per cell
DFT formation energy: -0.10 eV/atom
V: 215 Å³ per cell
spin magnetization: 0.00 μB per formula unit
excess energy over the best structure of this formula in the dataset: 23 meV per atom